Record 1
GdThAlTc | the Alexandria database | GGA-PBE | optimized geometry; magnetization = 6.94 μB/f.u.; symmetry = F-43m; ΔH_f (0 K) = -0.120 eV/atom
1.0
0.000 3.596 3.596
3.596 0.000 3.596
3.596 3.596 0.000
Gd Th Al Tc
1 1 1 1
Cartesian
0.000 0.000 0.000
3.596 3.596 3.596
1.798 1.798 1.798
5.393 5.393 5.393

Record 2
RbCd2Au3 | the Alexandria database | GGA-PBE | optimized geometry; magnetization = 0.00 μB/f.u.; symmetry = Cmcm; ΔH_f (0 K) = -0.257 eV/atom
1.0
5.852 -4.539 0.000
5.852 4.539 0.000
0.000 0.000 6.007
Rb Cd Au
2 4 6
Cartesian
5.852 3.020 4.505
5.852 -3.020 1.502
3.563 0.000 0.000
3.563 0.000 3.004
8.142 0.000 0.000
8.142 0.000 3.004
3.503 2.489 1.502
5.852 0.928 1.502
8.202 2.489 1.502
3.503 -2.489 4.505
5.852 -0.928 4.505
8.202 -2.489 4.505

Record 3
Pr4Nd3Er5 | the Alexandria database | GGA-PBE | optimized geometry; magnetization = 0.01 μB/f.u.; symmetry = C2/m; polymorph energy (0 for the lowest one) = 198 meV/atom; ΔH_f (0 K) = 0.216 eV/atom
1.0
8.095 -3.010 0.000
8.095 3.010 0.000
-4.235 0.000 8.455
Pr Nd Er
4 3 5
Cartesian
-0.508 0.000 3.788
-0.333 0.000 7.482
12.288 0.000 0.973
12.463 0.000 4.667
2.438 0.000 2.018
8.095 0.000 0.000
9.517 0.000 6.437
0.000 0.000 0.000
2.721 0.000 5.226
5.690 0.000 2.552
6.265 0.000 5.904
9.234 0.000 3.229

Record 4
TlCrCu | the Alexandria database | GGA-PBE | optimized geometry; magnetization = 3.92 μB/f.u.; symmetry = F-43m; polymorph energy (0 for the lowest one) = 87 meV/atom; ΔH_f (0 K) = 0.598 eV/atom
1.0
0.000 3.093 3.093
3.093 0.000 3.093
3.093 3.093 0.000
Tl Cr Cu
1 1 1
Cartesian
0.000 0.000 0.000
3.093 3.093 3.093
1.546 1.546 1.546

Record 5
SmTh2Mn | the Alexandria database | GGA-PBE | optimized geometry; magnetization = 0.00 μB/f.u.; symmetry = R-3m; polymorph energy (0 for the lowest one) = 251 meV/atom; ΔH_f (0 K) = 0.414 eV/atom
1.0
1.878 1.084 10.036
-1.878 1.084 10.036
0.000 -2.169 10.036
Sm Th Mn
1 2 1
Cartesian
0.000 0.000 0.000
0.000 0.000 3.450
0.000 0.000 26.658
0.000 0.000 15.054

Record 6
BiRhN2F | the Alexandria database | GGA-PBE | optimized geometry; magnetization = 1.94 μB/f.u.; symmetry = P4/mmm; polymorph energy (0 for the lowest one) = 833 meV/atom; formation energy (no corrections) = 1.289 eV per atom
1.0
4.353 0.000 0.000
0.000 4.353 0.000
0.000 0.000 4.288
Bi Rh N F
1 1 2 1
Cartesian
0.000 0.000 0.000
2.177 2.177 2.144
0.000 2.177 0.000
2.177 0.000 0.000
0.000 0.000 2.144

Record 7
Tm6GaC2S3 | the Alexandria database | GGA-PBE | optimized geometry; magnetization = 0.00 μB/f.u.; symmetry = C2/m; formation energy (no corrections) = -1.220 eV per atom
1.0
8.301 -1.853 0.000
8.301 1.853 0.000
-1.682 0.000 7.632
Tm Ga C S
6 1 2 3
Cartesian
-0.131 0.000 2.083
4.637 0.000 3.320
3.950 0.000 6.664
10.970 0.000 0.969
10.283 0.000 4.313
15.051 0.000 5.549
8.301 0.000 0.000
2.275 0.000 2.624
12.645 0.000 5.008
1.299 0.000 6.360
7.460 0.000 3.816
13.621 0.000 1.272

Record 8
Li2Ta2Sb | the Alexandria database | GGA-PBE | optimized geometry; magnetization = 0.00 μB/f.u.; symmetry = P4/mbm; polymorph energy (0 for the lowest one) = 209 meV/atom; formation energy (no corrections) = 0.554 eV per atom
1.0
7.572 0.000 0.000
0.000 7.572 0.000
0.000 0.000 3.133
Li Ta Sb
4 4 2
Cartesian
1.338 2.448 0.000
2.448 6.235 0.000
5.124 1.338 0.000
6.235 5.124 0.000
0.923 4.710 1.567
2.863 0.923 1.567
4.710 6.649 1.567
6.649 2.863 1.567
0.000 0.000 1.567
3.786 3.786 1.567

Record 9
MnTl3Ge | the Alexandria database | GGA-PBE | optimized geometry; magnetization = 4.45 μB/f.u.; symmetry = Pm-3m; polymorph energy (0 for the lowest one) = 184 meV/atom; ΔH_f (0 K) = 0.778 eV/atom
1.0
5.502 0.000 0.000
0.000 5.502 0.000
0.000 0.000 5.502
Mn Tl Ge
1 3 1
Cartesian
0.000 0.000 0.000
0.000 2.751 2.751
2.751 0.000 2.751
2.751 2.751 0.000
2.751 2.751 2.751

Record 10
HfFe2TcH | the Alexandria database | GGA-PBE | optimized geometry; magnetization = 4.57 μB/f.u.; symmetry = P4/mmm; polymorph energy (0 for the lowest one) = 0 meV/atom
1.0
3.808 0.000 0.000
0.000 3.808 0.000
0.000 0.000 4.154
Hf Fe Tc H
1 2 1 1
Cartesian
0.000 0.000 0.000
0.000 1.904 2.077
1.904 0.000 2.077
1.904 1.904 0.000
1.904 1.904 2.077

Record 11
YSiPt2 | the Alexandria database | GGA-PBE | optimized geometry; magnetization = 0.00 μB/f.u.; symmetry = P4/mmm; formation energy (no corrections) = -0.720 eV per atom
1.0
4.355 0.000 0.000
0.000 4.355 0.000
0.000 0.000 3.764
Y Si Pt
1 1 2
Cartesian
0.000 0.000 0.000
2.178 2.178 0.000
0.000 2.178 1.882
2.178 0.000 1.882

Record 12
CoOs2 | the Alexandria database | GGA-PBE | optimized geometry; magnetization = 0.92 μB/f.u.; symmetry = P6_3/mmc; polymorph energy (0 for the lowest one) = 257 meV/atom; ΔH_f (0 K) = 0.298 eV/atom
1.0
4.170 0.000 0.000
-2.085 3.611 0.000
0.000 0.000 5.263
Co Os
2 4
Cartesian
0.000 2.408 1.316
2.085 1.204 3.947
0.000 0.000 0.000
0.000 0.000 2.631
0.000 2.408 3.947
2.085 1.204 1.316

no.,theoretical density (kg/m3)
1,9186
2,9378
3,7386
4,8981
5,9065
6,7333
7,8511
8,9196
9,7383
10,10730
11,11795
12,18411